Entry 1:
AlAsH2 | PBE | relaxed

Unit cell a=7.134 b=7.134 c=7.134 alpha=150.20 beta=150.20 gamma=42.64
Fractional coordinates of all 8 atoms:
Al  0.000  0.000  0.000
Al  0.750  0.250  0.500
As  0.250  0.750  0.500
As  0.500  0.500  0.000
H  0.053  0.125  0.428
H  0.375  0.947  0.072
H  0.697  0.625  0.572
H  0.875  0.303  0.928

Calculated values
The calculation puts the total magnetization at 0.00 μB per formula unit. The crystal system is tetragonal. The density of states at the Fermi level is 3.60 states/eV per cell. The energy above the most stable polymorph in this dataset is 0 meV per atom. The uncorrected energy is -3.34 eV per atom.

Entry 2:
AlAsH2 | PBE | relaxed

Unit cell a=3.867 b=3.867 c=3.867 alpha=60.00 beta=60.00 gamma=60.00
Fractional coordinates of all 4 atoms:
Al  0.000  0.000  0.000
As  0.500  0.500  0.500
H  0.250  0.250  0.250
H  0.750  0.750  0.750

Calculated values
The calculation puts the total magnetization at 0.00 μB per formula unit. The crystal system is cubic. The density of states at the Fermi level is 0.99 states/eV per cell. The energy above the most stable polymorph in this dataset is 161 meV per atom. The uncorrected energy is -3.18 eV per atom.

Entry 3:
AlAs3H | PBE | relaxed

Unit cell a=4.296 b=4.296 c=4.296 alpha=90.00 beta=90.00 gamma=90.00
Fractional coordinates of all 5 atoms:
Al  0.000  0.000  0.000
As  0.000  0.500  0.500
As  0.500  0.000  0.500
As  0.500  0.500  0.000
H  0.500  0.500  0.500

Calculated values
The calculation puts the total magnetization at 0.00 μB per formula unit. The crystal system is cubic. The density of states at the Fermi level is 2.25 states/eV per cell. The energy above the most stable polymorph in this dataset is 0 meV per atom. The uncorrected energy is -3.68 eV per atom.

Entry 4:
AlAs3H | PBE | relaxed

Unit cell a=4.866 b=4.866 c=4.866 alpha=90.00 beta=90.00 gamma=90.00
Fractional coordinates of all 5 atoms:
Al  0.000  0.000  0.000
As  0.000  0.000  0.500
As  0.000  0.500  0.000
As  0.500  0.000  0.000
H  0.500  0.500  0.500

Calculated values
The calculation puts the total magnetization at 1.01 μB per formula unit. The crystal system is cubic. The density of states at the Fermi level is 1.74 states/eV per cell. The energy above the most stable polymorph in this dataset is 476 meV per atom. The uncorrected energy is -3.21 eV per atom.